Crystalline AlCdOs2 at its relaxed geometry, computed with GGA-PBEsol.

The total energy is -7.14 eV/atom.

Cell lengths 2.921, 4.657, 8.912 Å; angles 90.00, 90.00, 90.00 degrees
Space group Cmmm (No. 65)
Inequivalent atoms, fractional coordinates:
Al 0.000 0.000 0.000 x2
Cd 0.000 0.000 0.500 x2
Os 0.000 0.500 0.226 x4



Crystalline K2NaLuCl6 at its relaxed geometry, computed with GGA-PBEsol.

The energy relative to the elements, uncorrected is -2055 meV/atom.

Cell lengths 10.402, 10.402, 10.402 Å; angles 90.00, 90.00, 90.00 degrees
Space group Fm-3m (No. 225)
Inequivalent atoms, fractional coordinates:
K 0.250 0.250 0.250 x8
Na 0.000 0.000 0.000 x4
Lu 0.000 0.000 0.500 x4
Cl 0.000 0.000 0.256 x24



Crystalline BaLa2Pb at its relaxed geometry, computed with GGA-PBEsol.

The total energy is -4.45 eV/atom.

Cell lengths 4.271, 4.271, 7.703 Å; angles 90.00, 90.00, 90.00 degrees
Space group P4/mmm (No. 123)
Inequivalent atoms, fractional coordinates:
Ba 0.000 0.000 0.000 x1
La 0.500 0.500 0.300 x2
Pb 0.000 0.000 0.500 x1



Crystalline CsSmMo2O8 at its relaxed geometry, computed with GGA-PBEsol.

The energy relative to the elements, uncorrected is -2435 meV/atom.

Cell lengths 10.710, 10.584, 7.712 Å; angles 90.00, 130.65, 90.00 degrees
Space group C2/c (No. 15)
Inequivalent atoms, fractional coordinates:
Cs 0.000 0.195 0.250 x4
Sm 0.000 0.230 0.750 x4
Mo 0.192 0.499 0.733 x8
O 0.025 0.394 0.973 x8
O 0.134 0.075 0.701 x8
O 0.186 0.430 0.431 x8
O 0.233 0.157 0.133 x8



Crystalline Y2OsW at its relaxed geometry, computed with GGA-PBEsol.

The total energy is -9.29 eV/atom.

Cell lengths 3.1196, 3.1196, 28.1372 Å; angles 90.00, 90.00, 120.00 degrees
Space group R-3m (No. 166, hexagonal axes)
Inequivalent atoms, fractional coordinates:
Y 0.0000 0.0000 0.2447 x6
Os 0.0000 0.0000 0.5000 x3
W 0.0000 0.0000 0.0000 x3



Crystalline AgAuF7 at its relaxed geometry, computed with GGA-PBEsol.

The energy relative to the elements, uncorrected is -1001 meV/atom.

Cell lengths 7.719, 7.102, 10.043 Å; angles 90.00, 90.00, 90.00 degrees
Space group Pnma (No. 62)
Inequivalent atoms, fractional coordinates:
Ag 0.134 0.250 0.241 x4
Au 0.194 0.750 0.056 x4
F 0.036 0.250 0.024 x4
F 0.082 0.250 0.635 x4
F 0.113 0.750 0.695 x4
F 0.118 0.563 0.182 x8
F 0.227 0.067 0.427 x8



Crystalline Fe2BiIr2 at its relaxed geometry, computed with GGA-PBEsol.

The total energy is -7.99 eV/atom.

Cell lengths 3.806, 3.806, 11.627 Å; angles 90.00, 90.00, 90.00 degrees
Space group I4/mmm (No. 139)
Inequivalent atoms, fractional coordinates:
Fe 0.000 0.500 0.250 x4
Bi 0.000 0.000 0.000 x2
Ir 0.000 0.000 0.384 x4



Crystalline RbReMoRh2 at its relaxed geometry, computed with GGA-PBEsol.

The total energy is -6.22 eV/atom.

Cell lengths 4.682, 4.682, 5.297 Å; angles 90.00, 90.00, 90.00 degrees
Space group P4/mmm (No. 123)
Inequivalent atoms, fractional coordinates:
Rb 0.000 0.000 0.000 x1
Re 0.000 0.000 0.500 x1
Mo 0.500 0.500 0.000 x1
Rh 0.000 0.500 0.500 x2



Crystalline ZnHgTeN2 at its relaxed geometry, computed with GGA-PBEsol.

The energy relative to the elements, uncorrected is 1743 meV/atom.

Cell lengths 4.144, 4.144, 6.260 Å; angles 90.00, 90.00, 90.00 degrees
Space group P4/mmm (No. 123)
Inequivalent atoms, fractional coordinates:
Zn 0.000 0.000 0.000 x1
Hg 0.500 0.500 0.500 x1
Te 0.500 0.500 0.000 x1
N 0.000 0.500 0.500 x2



Crystalline Sr5Ta4O15 at its relaxed geometry, computed with GGA-PBEsol.

The energy relative to the elements, uncorrected is -3063 meV/atom.

Cell lengths 5.6467, 5.6467, 11.4934 Å; angles 90.00, 90.00, 120.00 degrees
Space group P-3m1 (No. 164)
Inequivalent atoms, fractional coordinates:
Sr 0.0000 0.0000 0.0000 x1
Sr 0.3333 0.6667 0.4400 x2
Sr 0.3333 0.6667 0.7767 x2
Ta 0.0000 0.0000 0.3181 x2
Ta 0.3333 0.6667 0.1048 x2
O 0.0000 0.5000 0.0000 x3
O 0.1643 0.3286 0.1933 x6
O 0.1699 0.3398 0.6081 x6



Crystalline TlSbSe3 at its relaxed geometry, computed with GGA-PBEsol.

The energy relative to the elements, uncorrected is 639 meV/atom.

Cell lengths 5.212, 5.212, 5.212 Å; angles 90.00, 90.00, 90.00 degrees
Space group Pm-3m (No. 221)
Inequivalent atoms, fractional coordinates:
Tl 0.000 0.000 0.000 x1
Sb 0.500 0.500 0.500 x1
Se 0.000 0.000 0.500 x3



Crystalline LaMnMo4 at its relaxed geometry, computed with GGA-PBEsol.

The total energy is -9.78 eV/atom.

Cell lengths 7.576, 7.576, 7.576 Å; angles 90.00, 90.00, 90.00 degrees
Space group F-43m (No. 216)
Inequivalent atoms, fractional coordinates:
La 0.000 0.000 0.000 x4
Mn 0.250 0.250 0.250 x4
Mo 0.125 0.125 0.625 x16



Crystalline Ta2CrH2 at its relaxed geometry, computed with GGA-PBEsol.

The total energy is -8.53 eV/atom.

Cell lengths 3.054, 3.054, 11.127 Å; angles 90.00, 90.00, 90.00 degrees
Space group I4/mmm (No. 139)
Inequivalent atoms, fractional coordinates:
Ta 0.000 0.000 0.136 x4
Cr 0.000 0.000 0.500 x2
H 0.000 0.500 0.250 x4



Crystalline ScSbTe2C at its relaxed geometry, computed with GGA-PBEsol.

The energy relative to the elements, uncorrected is 1406 meV/atom.

Cell lengths 5.363, 5.363, 5.419 Å; angles 90.00, 90.00, 90.00 degrees
Space group P4/mmm (No. 123)
Inequivalent atoms, fractional coordinates:
Sc 0.000 0.000 0.000 x1
Sb 0.000 0.000 0.500 x1
Te 0.000 0.500 0.000 x2
C 0.500 0.500 0.500 x1



Crystalline KTcAsSe2 at its relaxed geometry, computed with GGA-PBEsol.

The energy relative to the elements, uncorrected is -73 meV/atom.

Cell lengths 5.055, 5.055, 4.696 Å; angles 90.00, 90.00, 90.00 degrees
Space group P4/mmm (No. 123)
Inequivalent atoms, fractional coordinates:
K 0.000 0.000 0.000 x1
Tc 0.500 0.500 0.500 x1
As 0.500 0.500 0.000 x1
Se 0.000 0.500 0.500 x2



Crystalline ZrNb3Co at its relaxed geometry, computed with GGA-PBEsol.

The total energy is -7.78 eV/atom.

Cell lengths 4.780, 4.780, 4.780 Å; angles 90.00, 90.00, 90.00 degrees
Space group Pm-3m (No. 221)
Inequivalent atoms, fractional coordinates:
Zr 0.000 0.000 0.000 x1
Nb 0.000 0.000 0.500 x3
Co 0.500 0.500 0.500 x1



Crystalline BaAl2Pt at its relaxed geometry, computed with GGA-PBEsol.

The total energy is -5.02 eV/atom.

Cell lengths 4.2977, 4.2977, 18.1859 Å; angles 90.00, 90.00, 120.00 degrees
Space group R-3m (No. 166, hexagonal axes)
Inequivalent atoms, fractional coordinates:
Ba 0.0000 0.0000 0.0000 x3
Al 0.0000 0.0000 0.1969 x6
Pt 0.0000 0.0000 0.5000 x3



Crystalline LaMnRh2 at its relaxed geometry, computed with GGA-PBEsol.

The total energy is -8.02 eV/atom.

Cell lengths 6.543, 6.543, 6.543 Å; angles 90.00, 90.00, 90.00 degrees
Space group Fm-3m (No. 225)
Inequivalent atoms, fractional coordinates:
La 0.000 0.000 0.000 x4
Mn 0.000 0.000 0.500 x4
Rh 0.250 0.250 0.250 x8



Crystalline Zr3AlCr at its relaxed geometry, computed with GGA-PBEsol.

The total energy is -7.26 eV/atom.

Cell lengths 4.953, 4.953, 4.953 Å; angles 90.00, 90.00, 90.00 degrees
Space group Pm-3m (No. 221)
Inequivalent atoms, fractional coordinates:
Zr 0.000 0.000 0.500 x3
Al 0.000 0.000 0.000 x1
Cr 0.500 0.500 0.500 x1



Crystalline SrCd at its relaxed geometry, computed with GGA-PBEsol.

The total energy is -1.56 eV/atom.

Cell lengths 4.4057, 4.4057, 9.1800 Å; angles 90.00, 90.00, 120.00 degrees
Space group P-3m1 (No. 164)
Inequivalent atoms, fractional coordinates:
Sr 0.3333 0.6667 0.1872 x2
Cd 0.3333 0.6667 0.5721 x2



Crystalline CaAu2Se at its relaxed geometry, computed with GGA-PBEsol.

The energy relative to the elements, uncorrected is -669 meV/atom.

Cell lengths 3.932, 3.932, 5.656 Å; angles 90.00, 90.00, 90.00 degrees
Space group P4mm (No. 99)
Inequivalent atoms, fractional coordinates:
Ca 0.000 0.000 0.000 x1
Au 0.000 0.000 0.501 x1
Au 0.500 0.500 0.504 x1
Se 0.500 0.500 0.005 x1



Crystalline Li2CoCl at its relaxed geometry, computed with GGA-PBEsol.

The energy relative to the elements, uncorrected is 7 meV/atom.

Cell lengths 6.598, 6.598, 6.168 Å; angles 90.00, 90.00, 90.00 degrees
Space group I-42d (No. 122)
Inequivalent atoms, fractional coordinates:
Li 0.212 0.750 0.125 x8
Co 0.000 0.000 0.500 x4
Cl 0.000 0.000 0.000 x4



Crystalline NiIr at its relaxed geometry, computed with GGA-PBEsol.

The total energy is -7.28 eV/atom.

Cell lengths 3.5495, 3.5495, 5.2370 Å; angles 90.00, 90.00, 120.00 degrees
Space group P6_3/mmc (No. 194)
Inequivalent atoms, fractional coordinates:
Ni 0.3333 0.6667 0.2500 x2
Ir 0.0000 0.0000 0.0000 x2



Crystalline ScCuI2 at its relaxed geometry, computed with GGA-PBEsol.

The energy relative to the elements, uncorrected is -154 meV/atom.

Cell lengths 7.159, 7.159, 7.159 Å; angles 90.00, 90.00, 90.00 degrees
Space group Fm-3m (No. 225)
Inequivalent atoms, fractional coordinates:
Sc 0.000 0.000 0.000 x4
Cu 0.000 0.000 0.500 x4
I 0.250 0.250 0.250 x8



Crystalline LiMo2Br at its relaxed geometry, computed with GGA-PBEsol.

The energy relative to the elements, uncorrected is 274 meV/atom.

Cell lengths 12.939, 3.219, 3.340 Å; angles 90.00, 103.78, 90.00 degrees
Space group C2/m (No. 12)
Inequivalent atoms, fractional coordinates:
Li 0.000 0.000 0.000 x2
Mo 0.204 0.000 0.677 x4
Br 0.000 0.500 0.500 x2